(1)
Computed, not measured: CaAlCl3 after structural relaxation at the GGA-PBE level of DFT.

a b c (Å): 5.359 5.359 5.359
angles (deg): 90.00 90.00 90.00
Space group Pm-3m (No. 221)
Asymmetric unit:
1 Ca 0.000 0.000 0.000
2 Al 0.500 0.500 0.500
3 Cl 0.000 0.000 0.500

Properties
- D(E_F) (states/eV/atom) = 0.000
- uncorrected formation energy (eV per atom) = -1.43
- E_tot (eV/atom) = -3.69

(2)
Computed, not measured: LiCe2C after structural relaxation at the GGA-PBE level of DFT.

a b c (Å): 3.4345 3.4345 29.2399
angles (deg): 90.00 90.00 120.00
Space group R-3m (No. 166, hexagonal axes)
Asymmetric unit:
1 Li 0.0000 0.0000 0.0000
2 Ce 0.0000 0.0000 0.1173
3 C 0.0000 0.0000 0.5000

Properties
- D(E_F) (states/eV/atom) = 1.958
- E_form (meV/atom) = -15.7
- E_tot (eV/atom) = -5.77
- energy relative to the lowest polymorph listed for this composition (eV per atom) = 0.048